Density functional theory data (meta-GGA SCAN) for a crystal of Mg2CdHS relaxed with PBEsol.

Output
crystal system = tetragonal
magnetization = 0.0 μB/cell
D(E_F) = 1.57 states/eV/cell
electronic total energy = -10.57 eV/atom

Structure (extended XYZ):
```
5
Lattice="-2.710 -0.045 -2.752 3.039 -1.869 -2.963 -1.297 -4.244 1.346" Properties=species:S:1:pos:R:3 pbc="T T T"
H 0.000 0.000 0.000
S -1.355 -0.022 -1.376
Mg -0.649 -2.122 0.673
Mg 1.520 -0.934 -1.481
Cd -0.484 -3.079 -2.184
```

Density functional theory data (meta-GGA SCAN) for a crystal of Mg2CdHW relaxed with PBEsol.

Output
crystal system = tetragonal
magnetization = 3.5 μB/cell
D(E_F) = 1.21 states/eV/cell
electronic total energy = -20.98 eV/atom

Structure (extended XYZ):
```
5
Lattice="-1.475 -4.904 -0.539 1.306 -0.931 4.893 -4.801 1.276 1.524" Properties=species:S:1:pos:R:3 pbc="T T T"
H -2.485 -2.279 2.939
Mg 0.653 -0.465 2.447
Mg -0.737 -2.452 -0.270
W -2.400 0.638 0.762
Cd 0.000 0.000 0.000
```

Density functional theory data (meta-GGA SCAN) for a crystal of MnCd3H relaxed with PBEsol.

Output
crystal system = cubic
magnetization = 5.1 μB/cell
D(E_F) = 1.83 states/eV/cell
electronic total energy = -21.74 eV/atom

Structure (extended XYZ):
```
5
Lattice="-0.248 -4.777 -1.851 4.808 -0.857 1.567 -1.769 -1.660 4.520" Properties=species:S:1:pos:R:3 pbc="T T T"
H 1.396 -3.647 2.118
Mn 0.000 0.000 0.000
Cd 2.404 -0.429 0.783
Cd -0.884 -0.830 2.260
Cd -0.124 -2.389 -0.926
```

Density functional theory data (meta-GGA SCAN) for a crystal of MnCdH2 relaxed with PBEsol.

Output
crystal system = tetragonal
magnetization = 6.1 μB/cell
D(E_F) = 1.95 states/eV/cell
electronic total energy = -13.75 eV/atom

Structure (extended XYZ):
```
8
Lattice="-2.908 -0.638 -3.089 2.531 -2.980 -1.767 -1.691 -1.205 4.820" Properties=species:S:1:pos:R:3 pbc="T T T"
H -1.729 -1.914 -1.853
H 0.412 -3.212 -1.807
H -1.756 -2.869 0.756
H -1.064 -1.653 2.833
Mn -2.394 -1.826 -0.348
Mn -0.189 -1.809 -2.428
Cd 0.325 -2.997 0.313
Cd 0.000 0.000 0.000
```

Density functional theory data (meta-GGA SCAN) for a crystal of Cd3MoH relaxed with PBEsol.

Output
crystal system = cubic
magnetization = 4.7 μB/cell
D(E_F) = 2.85 states/eV/cell
electronic total energy = -24.54 eV/atom

Structure (extended XYZ):
```
5
Lattice="-1.261 -3.751 -3.683 0.332 -3.837 3.794 -5.246 0.658 1.125" Properties=species:S:1:pos:R:3 pbc="T T T"
H -3.087 -3.465 0.618
Mo 0.000 0.000 0.000
Cd 0.166 -1.918 1.897
Cd -2.623 0.329 0.563
Cd -0.630 -1.876 -1.841
```

Density functional theory data (meta-GGA SCAN) for a crystal of Cd2HN relaxed with PBEsol.

Output
crystal system = tetragonal
magnetization = 0.0 μB/cell
electronic total energy = -17.95 eV/atom

Structure (extended XYZ):
```
8
Lattice="-4.571 -0.450 1.105 0.956 -3.999 2.325 2.622 5.045 2.800" Properties=species:S:1:pos:R:3 pbc="T T T"
H -1.878 1.185 2.810
H -1.807 -2.224 1.715
N 0.885 -0.589 3.420
N 0.000 0.000 0.000
Cd -0.227 -2.407 3.150
Cd -2.980 -0.632 2.538
Cd 1.515 3.223 2.531
Cd -0.294 1.007 4.242
```

Density functional theory data (meta-GGA SCAN) for a crystal of CdH2N relaxed with PBEsol.

Output
crystal system = cubic
magnetization = 0.7 μB/cell
D(E_F) = 0.83 states/eV/cell
electronic total energy = -10.18 eV/atom

Structure (extended XYZ):
```
4
Lattice="3.580 0.000 0.000 1.790 3.101 0.000 1.790 1.034 2.923" Properties=species:S:1:pos:R:3 pbc="T T T"
H 1.790 1.034 0.731
H 5.370 3.101 2.192
Cd 3.580 2.067 1.462
N 0.000 0.000 0.000
```

Density functional theory data (meta-GGA SCAN) for a crystal of Cd2HN2 relaxed with PBEsol.

Output
crystal system = tetragonal
magnetization = 0.0 μB/cell
D(E_F) = 4.17 states/eV/cell
electronic total energy = -15.30 eV/atom

Structure (extended XYZ):
```
10
Lattice="3.161 0.000 0.000 0.000 6.085 0.000 0.000 0.000 6.085" Properties=species:S:1:pos:R:3 pbc="T T T"
H 0.000 0.000 0.000
H 0.000 3.042 3.042
N 0.000 2.112 5.155
N 0.000 5.155 3.972
N 0.000 3.972 0.930
N 0.000 0.930 2.112
Cd 1.580 0.981 4.023
Cd 1.580 4.023 5.104
Cd 1.580 5.104 2.062
Cd 1.580 2.062 0.981
```

Density functional theory data (meta-GGA SCAN) for a crystal of Na3CdH relaxed with PBEsol.

Output
crystal system = cubic
magnetization = 0.0 μB/cell
D(E_F) = 2.55 states/eV/cell
electronic total energy = -9.38 eV/atom

Structure (extended XYZ):
```
5
Lattice="4.766 0.000 0.000 0.000 4.766 0.000 0.000 0.000 4.766" Properties=species:S:1:pos:R:3 pbc="T T T"
Na 0.000 2.383 0.000
Na 0.000 0.000 2.383
Na 2.383 0.000 0.000
Cd 2.383 2.383 2.383
H 0.000 0.000 0.000
```

Density functional theory data (meta-GGA SCAN) for a crystal of Na2CdH4Se2O10 relaxed with PBEsol.

Output
crystal system = monoclinic
magnetization = 0.0 μB/cell
D(E_F) = 0.00 states/eV/cell
electronic total energy = -9.39 eV/atom

Structure (extended XYZ):
```
38
Lattice="5.821 0.011 0.000 -1.694 5.736 0.000 0.000 0.000 13.261" Properties=species:S:1:pos:R:3 pbc="T T T"
Na 0.776 2.391 5.020
Na 0.441 3.350 11.651
Na 3.351 3.356 8.241
Na 3.686 2.397 1.611
Cd 2.911 0.006 6.631
Cd 0.000 0.000 0.000
H 2.734 0.552 3.844
H -1.517 5.189 10.475
H 1.393 5.195 9.417
H 5.644 0.557 2.787
H 3.438 1.821 4.509
H 3.599 3.932 11.139
H 0.689 3.926 8.753
H 0.527 1.815 2.122
Se 4.096 4.365 5.050
Se 2.941 1.388 11.680
Se 0.030 1.382 8.212
Se 1.186 4.359 1.581
O 5.732 0.114 4.328
O 1.305 5.639 10.959
O -1.605 5.633 8.933
O 2.822 0.108 2.303
O 2.691 4.073 5.917
O 4.347 1.680 12.547
O 1.436 1.674 7.345
O -0.220 4.067 0.714
O -0.436 4.264 6.120
O 1.652 1.477 12.751
O 4.563 1.483 7.141
O 2.474 4.270 0.511
O 4.336 3.117 3.970
O 2.702 2.635 10.601
O -0.209 2.629 9.291
O 1.425 3.112 2.660
O 2.737 1.116 4.680
O 4.300 4.637 11.311
O 1.390 4.631 8.581
O -0.174 1.110 1.950
```

Density functional theory data (meta-GGA SCAN) for a crystal of NaCdSbH2 relaxed with PBEsol.

Output
crystal system = tetragonal
magnetization = 0.0 μB/cell
D(E_F) = 0.88 states/eV/cell
electronic total energy = -15.41 eV/atom

Structure (extended XYZ):
```
5
Lattice="4.138 0.000 0.000 0.000 4.138 0.000 0.000 0.000 6.057" Properties=species:S:1:pos:R:3 pbc="T T T"
Sb 0.000 0.000 0.000
Na 0.000 0.000 3.029
H 0.000 2.069 0.000
H 2.069 0.000 0.000
Cd 2.069 2.069 3.029
```

Density functional theory data (meta-GGA SCAN) for a crystal of Cd2NiH relaxed with PBEsol.

Output
crystal system = cubic
magnetization = 0.0 μB/cell
D(E_F) = 2.04 states/eV/cell
electronic total energy = -19.49 eV/atom

Structure (extended XYZ):
```
4
Lattice="-1.303 3.792 -1.595 -3.427 0.178 -2.617 -3.683 1.772 1.385" Properties=species:S:1:pos:R:3 pbc="T T T"
Ni -4.206 2.871 -1.413
H 0.000 0.000 0.000
Cd -2.103 1.436 -0.707
Cd -6.309 4.307 -2.120
```

What is the formula in the first record? Mg2CdHS